Cr2ReHgF: optimized geometry, PBE+U.

Geometry as POSCAR:
```
Cr2ReHgF
1.0
4.137 0.000 0.000
0.000 4.137 0.000
0.000 0.000 5.024
Cr Re Hg F
2 1 1 1
direct
0.000 0.500 0.000 Cr
0.500 0.000 0.000 Cr
0.000 0.000 0.500 Re
0.500 0.500 0.500 Hg
0.500 0.500 0.000 F
```

Calculated values
Electronic total energy = -27.38 eV for the cell shown
SG = P4/mmm, No. 123